Y2RhAu: relaxed, PBE.

The structure belongs to space group F-43m (No. 216); the cell edges are 6.897, 6.897 and 6.897 Å and the angles 90.00°, 90.00° and 90.00°. Symmetry generates all atoms from Y at (0.000, 0.000, 0.000), Y at (0.250, 0.250, 0.250), Rh at (0.000, 0.000, 0.500) and Au at (0.250, 0.250, 0.750).

Its energy of formation is -0.44 eV per atom.

DyBeGa: relaxed, PBE.

The structure belongs to space group I4mm (No. 107); the cell edges are 3.009, 3.009 and 14.664 Å and the angles 90.00°, 90.00° and 90.00°. Symmetry generates all atoms from Dy at (0.000, 0.000, 0.000), Be at (0.000, 0.000, 0.806) and Ga at (0.000, 0.000, 0.651).

The calculation puts the distance to the lowest polymorph of the same formula at 101.71 kJ/mol of atoms. Its energy of formation is 0.64 eV per atom.

MoPb2W: relaxed, PBE.

The structure belongs to space group C2/m (No. 12); the cell edges are 9.264, 3.203 and 5.554 Å and the angles 90.00°, 101.30° and 90.00°. Symmetry generates all atoms from Mo at (0.000, 0.000, 0.000), Pb at (0.249, 0.500, 0.249) and W at (0.000, 0.500, 0.500).

The calculation puts the distance to the lowest polymorph of the same formula at 63.35 kJ/mol of atoms. Its energy of formation is 1.07 eV per atom.

TlHgW2: relaxed, PBE.

The structure belongs to space group Cm (No. 8); the cell edges are 10.033, 2.865 and 5.308 Å and the angles 90.00°, 94.66° and 90.00°. Symmetry generates all atoms from Tl at (0.000, 0.000, 0.000), Hg at (0.253, 0.500, 0.230), W at (0.250, 0.000, 0.710) and W at (0.495, 0.000, 0.514).

The calculation puts the distance to the lowest polymorph of the same formula at 38.00 kJ/mol of atoms. Its energy of formation is 0.99 eV per atom.

Na3IrW: relaxed, PBE.

The structure belongs to space group Pm-3m (No. 221); the cell edges are 5.208, 5.208 and 5.208 Å and the angles 90.00°, 90.00° and 90.00°. Symmetry generates all atoms from Na at (0.000, 0.000, 0.500), Ir at (0.000, 0.000, 0.000) and W at (0.500, 0.500, 0.500).

The calculation puts the distance to the lowest polymorph of the same formula at 0.00 kJ/mol of atoms. Its energy of formation is 2.31 eV per atom.

TaMo3: relaxed, PBE.

The structure belongs to space group Imma (No. 74); the cell edges are 4.509, 4.529 and 12.812 Å and the angles 90.00°, 90.00° and 90.00°. Symmetry generates all atoms from Ta at (0.000, 0.250, 0.065), Mo at (0.000, 0.250, 0.310), Mo at (0.000, 0.250, 0.563) and Mo at (0.000, 0.250, 0.812).

Its energy of formation is -0.11 eV per atom.

MgSc2Tc: relaxed, PBE.

The structure belongs to space group R-3m (No. 166, hexagonal axes); the cell edges are 3.2168, 3.2168 and 28.0480 Å and the angles 90.00°, 90.00° and 120.00°. Symmetry generates all atoms from Mg at (0.0000, 0.0000, 0.0000), Sc at (0.0000, 0.0000, 0.2362) and Tc at (0.0000, 0.0000, 0.5000).

Its energy of formation is -0.03 eV per atom.

Cs2Al2Au: relaxed, PBE.

The structure belongs to space group I4/mmm (No. 139); the cell edges are 3.984, 3.984 and 23.157 Å and the angles 90.00°, 90.00° and 90.00°. Symmetry generates all atoms from Cs at (0.000, 0.000, 0.099), Al at (0.000, 0.500, 0.250) and Au at (0.000, 0.000, 0.500).

The calculation puts the distance to the lowest polymorph of the same formula at 0.00 kJ/mol of atoms. Its energy of formation is 0.10 eV per atom.

NdYRhAu: relaxed, PBE.

The structure belongs to space group Amm2 (No. 38); the cell edges are 4.639, 3.870 and 10.603 Å and the angles 90.00°, 90.00° and 90.00°. Symmetry generates all atoms from Nd at (0.000, 0.000, 0.000), Y at (0.500, 0.000, 0.719), Rh at (0.000, 0.000, 0.265) and Au at (0.500, 0.000, 0.436).

The calculation puts the distance to the lowest polymorph of the same formula at 0.00 kJ/mol of atoms. Its energy of formation is -0.79 eV per atom.

K2YH6: relaxed, PBE.

The structure belongs to space group Fm-3m (No. 225); the cell edges are 8.680, 8.680 and 8.680 Å and the angles 90.00°, 90.00° and 90.00°. Symmetry generates all atoms from K at (0.250, 0.250, 0.250), Y at (0.000, 0.000, 0.000) and H at (0.000, 0.000, 0.246).

Its total energy is -3.084 eV per atom.

DyErSc2Sb4: relaxed, PBE.

The structure belongs to space group P2/m (No. 10); the cell edges are 7.386, 4.270 and 7.395 Å and the angles 90.00°, 109.49° and 90.00°. Symmetry generates all atoms from Dy at (0.000, 0.000, 0.000), Er at (0.000, 0.500, 0.500), Sc at (0.500, 0.000, 0.500), Sc at (0.500, 0.500, 0.000), Sb at (0.263, 0.000, 0.753) and Sb at (0.264, 0.500, 0.256).

Its formation energy (no corrections) is -1019.6 meV/atom.

Sc2SiPd6: relaxed, PBE.

The structure belongs to space group C2/m (No. 12); the cell edges are 13.034, 7.039 and 3.688 Å and the angles 90.00°, 106.27° and 90.00°. Symmetry generates all atoms from Sc at (0.150, 0.000, 0.151), Si at (0.000, 0.500, 0.500), Pd at (0.000, 0.286, 0.000) and Pd at (0.166, 0.291, 0.666).

Its formation energy (no corrections) is -609.9 meV/atom.

LaNd6Tl5: relaxed, PBE.

The structure belongs to space group Immm (No. 71); the cell edges are 5.174, 9.070 and 15.662 Å and the angles 90.00°, 90.00° and 90.00°. Symmetry generates all atoms from La at (0.000, 0.000, 0.000), Nd at (0.000, 0.227, 0.500), Nd at (0.000, 0.264, 0.172), Tl at (0.000, 0.000, 0.323), Tl at (0.000, 0.500, 0.000) and Tl at (0.000, 0.500, 0.349).

The calculation puts the distance to the lowest polymorph of the same formula at 0.00 kJ/mol of atoms. Its energy of formation is -0.30 eV per atom.

LiYTmGe: relaxed, PBE.

The structure belongs to space group F-43m (No. 216); the cell edges are 7.047, 7.047 and 7.047 Å and the angles 90.00°, 90.00° and 90.00°. Symmetry generates all atoms from Li at (0.000, 0.000, 0.000), Y at (0.250, 0.250, 0.750), Tm at (0.250, 0.250, 0.250) and Ge at (0.000, 0.000, 0.500).

Its energy of formation is -0.41 eV per atom.

TmHfPt2: relaxed, PBE.

The structure belongs to space group P4/mmm (No. 123); the cell edges are 3.373, 3.373 and 6.919 Å and the angles 90.00°, 90.00° and 90.00°. Symmetry generates all atoms from Tm at (0.000, 0.000, 0.000), Hf at (0.000, 0.000, 0.500) and Pt at (0.500, 0.500, 0.279).

The calculation puts the distance to the lowest polymorph of the same formula at 2.84 kJ/mol of atoms. Its energy of formation is -1.14 eV per atom.

D(E_F) (computed, states/eV per cell): 19.2 5.3 6.8 5.5 16.2 7.2 11.3 2.5 5.6 15.1 1.3 7.6 27.6 9.8 3.0